Entry 1:
The following is a DFT calculation (GGA-PBE) of crystalline PuAlTcRu at its relaxed geometry.

Unit cell a=6.405 b=6.405 c=6.405 alpha=90.00 beta=90.00 gamma=90.00
Space group F-43m (No. 216)
Symmetry-distinct sites (fractional):
Pu (0.000, 0.000, 0.000) [4 per cell]
Al (0.000, 0.000, 0.500) [4 per cell]
Tc (0.250, 0.250, 0.250) [4 per cell]
Ru (0.250, 0.250, 0.750) [4 per cell]

Output
Formation energy   -0.33 eV per atom
DOS(E_F)   4.75 states/eV/f.u.
Magnetic moment   3.7 μB per formula unit



Entry 2:
The following is a DFT calculation (GGA-PBE) of crystalline LiHf2HPb at its relaxed geometry.

Unit cell a=4.287 b=4.287 c=4.563 alpha=90.00 beta=90.00 gamma=90.00
Space group P4/mmm (No. 123)
Symmetry-distinct sites (fractional):
Li (0.000, 0.000, 0.000) [1 per cell]
Hf (0.000, 0.500, 0.500) [2 per cell]
H (0.000, 0.000, 0.500) [1 per cell]
Pb (0.500, 0.500, 0.000) [1 per cell]

Output
E_tot   -29.60 eV per formula unit
DOS(E_F)   2.67 states/eV/f.u.
Magnetic moment   0.0 μB per formula unit



Number 1: calculated volume 16.4 A^3/atom. Number 2: calculated volume 16.8 A^3/atom.